Record 1
Sn2PbC, optimized geometry, DFT PBE; energy relative to the lowest polymorph listed for this composition = 0.059 eV/atom; space group = P1; energy of formation = 2.4 eV/f.u.
1.0
3.538 0.000 0.000
-1.757 3.072 0.000
-1.683 -1.057 9.077
Sn Pb C
2 1 1
direct
0.000 0.000 0.000
0.225 0.109 0.335
0.114 0.563 0.679
0.943 0.470 0.414

***

Record 2
SnPb2C, optimized geometry, DFT PBE; energy relative to the lowest polymorph listed for this composition = 0.448 eV/atom; space group = Fm-3m; energy of formation = 5.6 eV/f.u.
1.0
0.000 3.660 3.660
3.660 0.000 3.660
3.660 3.660 0.000
Sn Pb C
1 2 1
direct
0.000 0.000 0.000
0.250 0.250 0.250
0.750 0.750 0.750
0.500 0.500 0.500

***

Record 3
Sn3PbC, optimized geometry, DFT PBE; energy relative to the lowest polymorph listed for this composition = 1.295 eV/atom; space group = Pm-3m; energy of formation = 10.3 eV/f.u.
1.0
5.860 0.000 0.000
0.000 5.860 0.000
0.000 0.000 5.860
Sn Pb C
3 1 1
direct
0.000 0.000 0.500
0.000 0.500 0.000
0.500 0.000 0.000
0.000 0.000 0.000
0.500 0.500 0.500

***

Record 4
Sn2PbC, optimized geometry, DFT PBE; energy relative to the lowest polymorph listed for this composition = 0.117 eV/atom; space group = Cm; energy of formation = 2.6 eV/f.u.
1.0
5.494 -1.767 0.000
5.494 1.767 0.000
-2.928 0.000 5.088
Sn Pb C
2 1 1
direct
0.000 0.000 0.000
0.148 0.148 0.653
0.803 0.803 0.312
0.775 0.775 0.699

***

Record 5
Sn2PbC, optimized geometry, DFT PBE; energy relative to the lowest polymorph listed for this composition = 0.000 eV/atom; space group = P1; energy of formation = 2.2 eV/f.u.
1.0
3.494 0.000 0.000
1.733 3.038 0.000
1.367 0.700 9.572
Sn Pb C
2 1 1
direct
0.000 0.000 0.000
0.260 0.279 0.314
0.064 0.039 0.677
0.310 0.315 0.085

***

Record 6
Sn2PbC, optimized geometry, DFT PBE; energy relative to the lowest polymorph listed for this composition = 0.162 eV/atom; space group = I-42d; energy of formation = 2.8 eV/f.u.
1.0
-3.055 3.055 5.538
3.055 -3.055 5.538
3.055 3.055 -5.538
Sn Pb C
4 2 2
direct
0.030 0.625 0.905
0.375 0.280 0.405
0.720 0.125 0.095
0.875 0.970 0.595
0.250 0.750 0.500
0.500 0.500 0.000
0.000 0.000 0.000
0.750 0.250 0.500

***

Record 7
Sn2PbC, optimized geometry, DFT PBE; energy relative to the lowest polymorph listed for this composition = 0.190 eV/atom; space group = C2; energy of formation = 2.9 eV/f.u.
1.0
4.599 -2.941 0.000
4.599 2.941 0.000
-0.104 0.000 3.409
Sn Pb C
2 1 1
direct
0.175 0.175 0.013
0.825 0.825 0.987
0.527 0.473 0.500
0.951 0.049 0.500

***

Record 8
SrSn2PbC, optimized geometry, DFT PBE; space group = P4/mmm; energy of formation = 8.1 eV/f.u.
1.0
5.756 0.000 0.000
0.000 5.756 0.000
0.000 0.000 6.500
Sr Sn Pb C
1 2 1 1
direct
0.000 0.000 0.000
0.000 0.500 0.500
0.500 0.000 0.500
0.000 0.000 0.500
0.500 0.500 0.000

***

Record 9
TlSnPb2C, optimized geometry, DFT PBE; space group = P4/mmm; energy of formation = 5.4 eV/f.u.
1.0
6.129 0.000 0.000
0.000 6.129 0.000
0.000 0.000 4.127
Tl Sn Pb C
1 1 2 1
direct
0.000 0.000 0.000
0.500 0.500 0.500
0.000 0.500 0.500
0.500 0.000 0.500
0.500 0.500 0.000

***

Record 10
Tm6SnPb2C, optimized geometry, DFT PBE; space group = P4/mmm; energy of formation = -1.4 eV/f.u.
1.0
5.286 0.000 0.000
0.000 5.286 0.000
0.000 0.000 10.272
Tm Sn Pb C
6 1 2 1
direct
0.000 0.000 0.221
0.000 0.000 0.779
0.000 0.500 0.000
0.000 0.500 0.500
0.500 0.000 0.000
0.500 0.000 0.500
0.000 0.000 0.500
0.500 0.500 0.241
0.500 0.500 0.759
0.000 0.000 0.000

***

Record 11
Tm4SnPbC, optimized geometry, DFT PBE; space group = Cmcm; energy of formation = -4.4 eV/f.u.
1.0
3.350 -7.892 0.000
3.350 7.892 0.000
0.000 0.000 6.696
Tm Sn Pb C
8 2 2 2
direct
0.000 0.500 0.000
0.000 0.500 0.500
0.092 0.908 0.750
0.406 0.594 0.750
0.500 0.000 0.000
0.500 0.000 0.500
0.594 0.406 0.250
0.908 0.092 0.250
0.109 0.891 0.250
0.891 0.109 0.750
0.393 0.607 0.250
0.607 0.393 0.750
0.250 0.750 0.750
0.750 0.250 0.250

***

Record 12
SrPbC3, optimized geometry, DFT PBE; energy relative to the lowest polymorph listed for this composition = 0.702 eV/atom; space group = Pm-3m; energy of formation = 15.7 eV/f.u.
1.0
4.722 0.000 0.000
0.000 4.722 0.000
0.000 0.000 4.722
Sr Pb C
1 1 3
direct
0.000 0.000 0.000
0.500 0.500 0.500
0.000 0.000 0.500
0.000 0.500 0.000
0.500 0.000 0.000

***

Record 13
SrPbC3, optimized geometry, DFT PBE; energy relative to the lowest polymorph listed for this composition = 0.000 eV/atom; space group = Pm-3m; energy of formation = 12.2 eV/f.u.
1.0
4.560 0.000 0.000
0.000 4.560 0.000
0.000 0.000 4.560
Sr Pb C
1 1 3
direct
0.000 0.000 0.000
0.500 0.500 0.500
0.000 0.500 0.500
0.500 0.000 0.500
0.500 0.500 0.000

***

Record 14
SrPb2C, optimized geometry, DFT PBE; space group = I-42d; energy of formation = 2.4 eV/f.u.
1.0
-4.150 4.150 3.054
4.150 -4.150 3.054
4.150 4.150 -3.054
Sr Pb C
2 4 2
direct
0.000 0.000 0.000
0.750 0.250 0.500
0.222 0.625 0.097
0.375 0.472 0.597
0.528 0.125 0.903
0.875 0.778 0.403
0.250 0.750 0.500
0.500 0.500 0.000